Record 1
TiTlPt2 | PBE | relaxed

The structure in extended XYZ format:
```
8
Lattice="-3.696 3.696 2.836 3.696 -3.696 2.836 3.696 3.696 -2.836" Properties=species:S:1:pos:R:3 pbc="T T T"
Ti 0.000 0.000 0.000
Ti 0.000 3.696 1.418
Tl 3.696 0.000 1.418
Tl 0.000 0.000 2.836
Pt 5.544 1.577 -0.709
Pt 1.577 1.848 0.709
Pt -1.848 2.119 2.127
Pt 2.119 1.848 3.545
```

Output
V, Å³ per atom: 19.4
VASP energy, eV per atom: -5.772
Energy relative to the elements, eV/atom: -0.19

=====

Record 2
KInGeIr | PBE | relaxed

The structure in extended XYZ format:
```
8
Lattice="4.169 0.000 0.000 0.000 4.169 0.000 0.000 0.000 13.118" Properties=species:S:1:pos:R:3 pbc="T T T"
K 1.042 1.042 3.100
K 3.127 3.127 10.017
In 1.042 3.127 6.559
In 3.127 1.042 6.559
Ge 1.042 1.042 11.771
Ge 3.127 3.127 1.346
Ir 1.042 3.127 0.000
Ir 3.127 1.042 0.000
```

Output
V, Å³ per atom: 28.5
VASP energy, eV per atom: -4.512
Energy relative to the elements, eV/atom: -0.18

=====

Record 3
TlIn4Hg2Bi | PBE | relaxed

The structure in extended XYZ format:
```
8
Lattice="4.689 0.000 0.000 0.000 4.689 0.000 0.000 0.000 11.196" Properties=species:S:1:pos:R:3 pbc="T T T"
Tl 0.000 0.000 0.000
In 0.000 2.345 3.310
In 0.000 2.345 7.886
In 2.345 0.000 3.310
In 2.345 0.000 7.886
Hg 2.345 2.345 1.400
Hg 2.345 2.345 9.796
Bi 0.000 0.000 5.598
```

Output
V, Å³ per atom: 30.8
VASP energy, eV per atom: -2.174
Energy relative to the elements, eV/atom: 0.05

=====

Record 4
Eu2Y4N | PBE | relaxed

The structure in extended XYZ format:
```
7
Lattice="-2.449 2.449 9.375 2.449 -2.449 9.375 2.449 2.449 -9.375" Properties=species:S:1:pos:R:3 pbc="T T T"
Eu 0.000 0.000 3.271
Eu 0.000 0.000 15.478
Y 2.449 0.000 0.000
Y 0.000 0.000 7.054
Y 0.000 2.449 0.000
Y 0.000 0.000 11.696
N 0.000 0.000 9.375
```

Output
V, Å³ per atom: 32.1
VASP energy, eV per atom: -8.064
Uncorrected formation energy, eV/atom: -0.2458

=====

Look up the VASP energy of the first one.
-5.772 eV per atom

=====

Among the records above, which one has the lowest V?
TiTlPt2

=====

Which of these has the lowest VASP energy?
Eu2Y4N

=====

Copy entry 4 word for word.
Eu2Y4N | PBE | relaxed

The structure in extended XYZ format:
```
7
Lattice="-2.449 2.449 9.375 2.449 -2.449 9.375 2.449 2.449 -9.375" Properties=species:S:1:pos:R:3 pbc="T T T"
Eu 0.000 0.000 3.271
Eu 0.000 0.000 15.478
Y 2.449 0.000 0.000
Y 0.000 0.000 7.054
Y 0.000 2.449 0.000
Y 0.000 0.000 11.696
N 0.000 0.000 9.375
```

Output
V, Å³ per atom: 32.1
VASP energy, eV per atom: -8.064
Uncorrected formation energy, eV/atom: -0.2458